A plane-wave DFT calculation with meta-GGA SCAN was carried out for a crystal of PrGaO3 relaxed with PBEsol.

Results
DOS at the Fermi energy ... 3.8 states/eV/cell
Calculated volume ... 18.47 Å³/atom
Crystal system ... cubic
Symmetry ... Pm-3m
E_tot ... -84.4 eV/cell
E_form (uncorrected) ... -1.2119 eV per atom

a = 4.5202 Å, b = 4.5202 Å, c = 4.5202 Å
α = 90.00°, β = 90.00°, γ = 90.00°
Element x y z (fractional)
Pr  0.0000  0.0000  0.0000
Ga  0.5000  0.5000  0.5000
O  0.0000  0.0000  0.5000
O  0.0000  0.5000  0.0000
O  0.5000  0.0000  0.0000



A plane-wave DFT calculation with meta-GGA SCAN was carried out for a crystal of FeNi2Rh relaxed with PBEsol.

Results
DOS at the Fermi energy ... 3.9 states/eV/cell
Calculated volume ... 11.47 Å³/atom
Crystal system ... tetragonal
Symmetry ... P4mm
E_tot ... -84.4 eV/cell
ΔE_f ... -0.036 eV per atom

a = 2.5578 Å, b = 2.5578 Å, c = 7.0100 Å
α = 90.00°, β = 90.00°, γ = 90.00°
Element x y z (fractional)
Fe  0.0000  0.0000  0.0000
Ni  0.0000  0.0000  0.4760
Ni  0.5000  0.5000  0.2374
Rh  0.5000  0.5000  0.7358